Entry 1:
VASP calculation (PBE) on a geometry-optimized Gd3Mg3Cd2Pd structure. Values from VASP.

## Properties
Its total energy is -3.2129 eV per atom.

Cell and atoms, written as Quantum ESPRESSO input:
```
&SYSTEM
  ibrav = 0, nat = 9, ntyp = 4
/
ATOMIC_SPECIES
Cd 112.41 Cd.upf
Mg 24.30 Mg.upf
Gd 157.25 Gd.upf
Pd 106.42 Pd.upf
ATOMIC_POSITIONS angstrom
Cd 0.000 4.360 2.243
Mg 5.800 0.000 2.243
Gd 3.042 0.000 0.000
Cd 3.776 2.180 2.243
Gd -1.521 2.634 0.000
Mg -2.900 5.023 2.243
Mg 0.876 1.517 2.243
Pd 0.000 0.000 0.000
Gd 2.255 3.906 0.000
CELL_PARAMETERS angstrom
7.551 0.000 0.000
-3.776 6.540 0.000
0.000 0.000 4.487
```

***

Entry 2:
VASP calculation (PBE) on a geometry-optimized Al2SnIr structure. Values from VASP.

## Properties
Its total energy is -5.0610 eV per atom.

Cell and atoms, written as Quantum ESPRESSO input:
```
&SYSTEM
  ibrav = 0, nat = 4, ntyp = 3
/
ATOMIC_SPECIES
Al 26.98 Al.upf
Ir 192.22 Ir.upf
Sn 118.71 Sn.upf
ATOMIC_POSITIONS angstrom
Al 0.000 0.000 0.000
Al 4.882 4.882 4.882
Ir 1.627 1.627 1.627
Sn 3.255 3.255 3.255
CELL_PARAMETERS angstrom
0.000 3.255 3.255
3.255 0.000 3.255
3.255 3.255 0.000
```

***

Entry 3:
VASP calculation (PBE) on a geometry-optimized Au2F structure. Values from VASP.

## Properties
Its total energy is -3.1206 eV per atom.

Cell and atoms, written as Quantum ESPRESSO input:
```
&SYSTEM
  ibrav = 0, nat = 6, ntyp = 2
/
ATOMIC_SPECIES
Au 196.97 Au.upf
F 19.00 F.upf
ATOMIC_POSITIONS angstrom
Au 1.560 0.000 5.497
Au 0.000 1.560 7.291
Au 0.000 1.560 3.696
F 1.560 0.000 8.407
F 0.000 1.560 0.786
Au 1.560 0.000 1.903
CELL_PARAMETERS angstrom
3.119 0.000 0.000
0.000 3.119 0.000
0.000 0.000 9.193
```